Entry 1:
The following is a DFT calculation (PBE-GGA) of an optimized crystal structure of ZrBePS2.

Properties
- Theoretical density: 4.0 g/cm³
- Space-group type: P4/mmm
- Energy above the most stable polymorph in this dataset: 0 meV per atom
- Calculated volume: 81 Å³/cell
- Total magnetization: 0.00 μB per formula unit
- Total DFT energy (no corrections): -5.30 eV/atom
- Fermi-level density of states: 0.523 states/eV/atom

The structure in CIF format:
```
data_ZrBePS2
_chemical_formula_sum 'Zr1 Be1 P1 S2'
_symmetry_space_group_name_H-M 'P 1'
_symmetry_Int_Tables_number 1
_cell_length_a 4.3405
_cell_length_b 4.3405
_cell_length_c 4.2878
_cell_angle_alpha 90.00
_cell_angle_beta 90.00
_cell_angle_gamma 90.00
loop_
_symmetry_equiv_pos_as_xyz
'x,y,z'
loop_
_atom_site_label
_atom_site_type_symbol
_atom_site_fract_x
_atom_site_fract_y
_atom_site_fract_z
Zr1 Zr 0.0000 0.0000 0.0000
Be1 Be 0.5000 0.5000 0.5000
P1 P 0.5000 0.5000 0.0000
S1 S 0.0000 0.5000 0.5000
S2 S 0.5000 0.0000 0.5000
```


Entry 2:
The following is a DFT calculation (PBE-GGA) of an optimized crystal structure of ZrBePS2.

Properties
- Theoretical density: 2.6 g/cm³
- Space-group type: P4/mmm
- Energy above the most stable polymorph in this dataset: 471 meV per atom
- Calculated volume: 125 Å³/cell
- Total magnetization: 0.00 μB per formula unit
- Total DFT energy (no corrections): -4.82 eV/atom
- Fermi-level density of states: 1.129 states/eV/atom

The structure in CIF format:
```
data_ZrBePS2
_chemical_formula_sum 'Zr1 Be1 P1 S2'
_symmetry_space_group_name_H-M 'P 1'
_symmetry_Int_Tables_number 1
_cell_length_a 4.9090
_cell_length_b 4.9090
_cell_length_c 5.1710
_cell_angle_alpha 90.00
_cell_angle_beta 90.00
_cell_angle_gamma 90.00
loop_
_symmetry_equiv_pos_as_xyz
'x,y,z'
loop_
_atom_site_label
_atom_site_type_symbol
_atom_site_fract_x
_atom_site_fract_y
_atom_site_fract_z
Zr1 Zr 0.0000 0.0000 0.0000
Be1 Be 0.5000 0.5000 0.5000
P1 P 0.0000 0.0000 0.5000
S1 S 0.0000 0.5000 0.0000
S2 S 0.5000 0.0000 0.0000
```


Entry 3:
The following is a DFT calculation (PBE-GGA) of an optimized crystal structure of ZrBeP2S.

Properties
- Theoretical density: 2.6 g/cm³
- Space-group type: P4/mmm
- Energy above the most stable polymorph in this dataset: 634 meV per atom
- Calculated volume: 125 Å³/cell
- Total magnetization: 0.00 μB per formula unit
- Total DFT energy (no corrections): -4.77 eV/atom
- Fermi-level density of states: 1.156 states/eV/atom

The structure in CIF format:
```
data_ZrBeP2S
_chemical_formula_sum 'Zr1 Be1 P2 S1'
_symmetry_space_group_name_H-M 'P 1'
_symmetry_Int_Tables_number 1
_cell_length_a 5.0630
_cell_length_b 5.0630
_cell_length_c 4.8815
_cell_angle_alpha 90.00
_cell_angle_beta 90.00
_cell_angle_gamma 90.00
loop_
_symmetry_equiv_pos_as_xyz
'x,y,z'
loop_
_atom_site_label
_atom_site_type_symbol
_atom_site_fract_x
_atom_site_fract_y
_atom_site_fract_z
Zr1 Zr 0.0000 0.0000 0.0000
Be1 Be 0.5000 0.5000 0.5000
P1 P 0.0000 0.5000 0.0000
P2 P 0.5000 0.0000 0.0000
S1 S 0.0000 0.0000 0.5000
```


Entry 4:
The following is a DFT calculation (PBE-GGA) of an optimized crystal structure of BeSbP2.

Properties
- Theoretical density: 4.7 g/cm³
- Space-group type: Fm-3m
- Energy above the most stable polymorph in this dataset: 698 meV per atom
- Calculated volume: 67 Å³/cell
- Total magnetization: 0.00 μB per formula unit
- Total DFT energy (no corrections): -3.93 eV/atom
- Fermi-level density of states: 0.665 states/eV/atom

The structure in CIF format:
```
data_BeSbP2
_chemical_formula_sum 'Be1 Sb1 P2'
_symmetry_space_group_name_H-M 'P 1'
_symmetry_Int_Tables_number 1
_cell_length_a 4.5690
_cell_length_b 4.5690
_cell_length_c 4.5690
_cell_angle_alpha 60.00
_cell_angle_beta 60.00
_cell_angle_gamma 60.00
loop_
_symmetry_equiv_pos_as_xyz
'x,y,z'
loop_
_atom_site_label
_atom_site_type_symbol
_atom_site_fract_x
_atom_site_fract_y
_atom_site_fract_z
Be1 Be 0.0000 0.0000 0.0000
Sb1 Sb 0.5000 0.5000 0.5000
P1 P 0.2500 0.2500 0.2500
P2 P 0.7500 0.7500 0.7500
```


Entry 5:
The following is a DFT calculation (PBE-GGA) of an optimized crystal structure of BeSbP2.

Properties
- Theoretical density: 3.8 g/cm³
- Space-group type: Immm
- Energy above the most stable polymorph in this dataset: 259 meV per atom
- Calculated volume: 83 Å³/cell
- Total magnetization: 0.00 μB per formula unit
- Total DFT energy (no corrections): -4.37 eV/atom
- Fermi-level density of states: 0.226 states/eV/atom

The structure in CIF format:
```
data_BeSbP2
_chemical_formula_sum 'Be1 Sb1 P2'
_symmetry_space_group_name_H-M 'P 1'
_symmetry_Int_Tables_number 1
_cell_length_a 5.5487
_cell_length_b 5.5487
_cell_length_c 5.5487
_cell_angle_alpha 143.18
_cell_angle_beta 124.05
_cell_angle_gamma 68.87
loop_
_symmetry_equiv_pos_as_xyz
'x,y,z'
loop_
_atom_site_label
_atom_site_type_symbol
_atom_site_fract_x
_atom_site_fract_y
_atom_site_fract_z
Be1 Be 0.0000 0.0000 0.0000
Sb1 Sb 0.5000 0.5000 0.0000
P1 P 0.1311 0.6311 0.5000
P2 P 0.8689 0.3689 0.5000
```


Entry 6:
The following is a DFT calculation (PBE-GGA) of an optimized crystal structure of BeSbP2.

Properties
- Theoretical density: 4.7 g/cm³
- Space-group type: C2/m
- Energy above the most stable polymorph in this dataset: 179 meV per atom
- Calculated volume: 68 Å³/cell
- Total magnetization: 0.00 μB per formula unit
- Total DFT energy (no corrections): -4.45 eV/atom
- Fermi-level density of states: 0.298 states/eV/atom

The structure in CIF format:
```
data_BeSbP2
_chemical_formula_sum 'Be1 Sb1 P2'
_symmetry_space_group_name_H-M 'P 1'
_symmetry_Int_Tables_number 1
_cell_length_a 3.6383
_cell_length_b 3.6383
_cell_length_c 6.2264
_cell_angle_alpha 106.39
_cell_angle_beta 106.39
_cell_angle_gamma 60.71
loop_
_symmetry_equiv_pos_as_xyz
'x,y,z'
loop_
_atom_site_label
_atom_site_type_symbol
_atom_site_fract_x
_atom_site_fract_y
_atom_site_fract_z
Be1 Be 0.0000 0.0000 0.0000
Sb1 Sb 0.5000 0.5000 0.5000
P1 P 0.2622 0.2622 0.8032
P2 P 0.7378 0.7378 0.1968
```


Entry 7:
The following is a DFT calculation (PBE-GGA) of an optimized crystal structure of BeSbP2.

Properties
- Theoretical density: 4.7 g/cm³
- Space-group type: P4/mmm
- Energy above the most stable polymorph in this dataset: 709 meV per atom
- Calculated volume: 68 Å³/cell
- Total magnetization: 0.00 μB per formula unit
- Total DFT energy (no corrections): -3.92 eV/atom
- Fermi-level density of states: 0.410 states/eV/atom

The structure in CIF format:
```
data_BeSbP2
_chemical_formula_sum 'Be1 Sb1 P2'
_symmetry_space_group_name_H-M 'P 1'
_symmetry_Int_Tables_number 1
_cell_length_a 4.5383
_cell_length_b 4.5383
_cell_length_c 3.2792
_cell_angle_alpha 90.00
_cell_angle_beta 90.00
_cell_angle_gamma 90.00
loop_
_symmetry_equiv_pos_as_xyz
'x,y,z'
loop_
_atom_site_label
_atom_site_type_symbol
_atom_site_fract_x
_atom_site_fract_y
_atom_site_fract_z
Be1 Be 0.0000 0.0000 0.0000
Sb1 Sb 0.5000 0.5000 0.0000
P1 P 0.0000 0.5000 0.5000
P2 P 0.5000 0.0000 0.5000
```


Entry 8:
The following is a DFT calculation (PBE-GGA) of an optimized crystal structure of BeSbP2.

Properties
- Theoretical density: 4.4 g/cm³
- Space-group type: Imm2
- Energy above the most stable polymorph in this dataset: 481 meV per atom
- Calculated volume: 73 Å³/cell
- Total magnetization: 0.00 μB per formula unit
- Total DFT energy (no corrections): -4.15 eV/atom
- Fermi-level density of states: 0.555 states/eV/atom

The structure in CIF format:
```
data_BeSbP2
_chemical_formula_sum 'Be1 Sb1 P2'
_symmetry_space_group_name_H-M 'P 1'
_symmetry_Int_Tables_number 1
_cell_length_a 5.3356
_cell_length_b 5.3356
_cell_length_c 5.3356
_cell_angle_alpha 145.59
_cell_angle_beta 120.21
_cell_angle_gamma 70.84
loop_
_symmetry_equiv_pos_as_xyz
'x,y,z'
loop_
_atom_site_label
_atom_site_type_symbol
_atom_site_fract_x
_atom_site_fract_y
_atom_site_fract_z
Be1 Be 0.0000 0.0000 0.0000
Sb1 Sb 0.7520 0.2520 0.5000
P1 P 0.1895 0.6895 0.5000
P2 P 0.3818 0.3818 0.0000
```


Entry 9:
The following is a DFT calculation (PBE-GGA) of an optimized crystal structure of BeSb2P.

Properties
- Theoretical density: 5.8 g/cm³
- Space-group type: Cmmm
- Energy above the most stable polymorph in this dataset: 424 meV per atom
- Calculated volume: 81 Å³/cell
- Total magnetization: 0.00 μB per formula unit
- Total DFT energy (no corrections): -3.75 eV/atom
- Fermi-level density of states: 0.564 states/eV/atom

The structure in CIF format:
```
data_BeSb2P
_chemical_formula_sum 'Be1 Sb2 P1'
_symmetry_space_group_name_H-M 'P 1'
_symmetry_Int_Tables_number 1
_cell_length_a 3.4117
_cell_length_b 3.4117
_cell_length_c 7.4790
_cell_angle_alpha 90.00
_cell_angle_beta 90.00
_cell_angle_gamma 111.41
loop_
_symmetry_equiv_pos_as_xyz
'x,y,z'
loop_
_atom_site_label
_atom_site_type_symbol
_atom_site_fract_x
_atom_site_fract_y
_atom_site_fract_z
Be1 Be 0.0000 0.0000 0.0000
Sb1 Sb 0.5000 0.5000 0.2314
Sb2 Sb 0.5000 0.5000 0.7686
P1 P 0.0000 0.0000 0.5000
```


Entry 10:
The following is a DFT calculation (PBE-GGA) of an optimized crystal structure of BeSb2P.

Properties
- Theoretical density: 5.7 g/cm³
- Space-group type: Immm
- Energy above the most stable polymorph in this dataset: 425 meV per atom
- Calculated volume: 82 Å³/cell
- Total magnetization: 0.00 μB per formula unit
- Total DFT energy (no corrections): -3.75 eV/atom
- Fermi-level density of states: 0.450 states/eV/atom

The structure in CIF format:
```
data_BeSb2P
_chemical_formula_sum 'Be1 Sb2 P1'
_symmetry_space_group_name_H-M 'P 1'
_symmetry_Int_Tables_number 1
_cell_length_a 5.0957
_cell_length_b 5.0957
_cell_length_c 5.0957
_cell_angle_alpha 135.69
_cell_angle_beta 112.13
_cell_angle_gamma 84.71
loop_
_symmetry_equiv_pos_as_xyz
'x,y,z'
loop_
_atom_site_label
_atom_site_type_symbol
_atom_site_fract_x
_atom_site_fract_y
_atom_site_fract_z
Be1 Be 0.0000 0.0000 0.0000
Sb1 Sb 0.2285 0.7285 0.5000
Sb2 Sb 0.7715 0.2715 0.5000
P1 P 0.5000 0.5000 0.0000
```


Entry 11:
The following is a DFT calculation (PBE-GGA) of an optimized crystal structure of BeSb2P.

Properties
- Theoretical density: 6.1 g/cm³
- Space-group type: P4/mmm
- Energy above the most stable polymorph in this dataset: 438 meV per atom
- Calculated volume: 77 Å³/cell
- Total magnetization: 0.00 μB per formula unit
- Total DFT energy (no corrections): -3.74 eV/atom
- Fermi-level density of states: 0.403 states/eV/atom

The structure in CIF format:
```
data_BeSb2P
_chemical_formula_sum 'Be1 Sb2 P1'
_symmetry_space_group_name_H-M 'P 1'
_symmetry_Int_Tables_number 1
_cell_length_a 3.3598
_cell_length_b 3.3598
_cell_length_c 6.8278
_cell_angle_alpha 90.00
_cell_angle_beta 90.00
_cell_angle_gamma 90.00
loop_
_symmetry_equiv_pos_as_xyz
'x,y,z'
loop_
_atom_site_label
_atom_site_type_symbol
_atom_site_fract_x
_atom_site_fract_y
_atom_site_fract_z
Be1 Be 0.0000 0.0000 0.0000
Sb1 Sb 0.5000 0.5000 0.2367
Sb2 Sb 0.5000 0.5000 0.7633
P1 P 0.0000 0.0000 0.5000
```


Entry 12:
The following is a DFT calculation (PBE-GGA) of an optimized crystal structure of BeSb2P.

Properties
- Theoretical density: 5.7 g/cm³
- Space-group type: Pmmm
- Energy above the most stable polymorph in this dataset: 468 meV per atom
- Calculated volume: 83 Å³/cell
- Total magnetization: 0.00 μB per formula unit
- Total DFT energy (no corrections): -3.71 eV/atom
- Fermi-level density of states: 0.485 states/eV/atom

The structure in CIF format:
```
data_BeSb2P
_chemical_formula_sum 'Be1 Sb2 P1'
_symmetry_space_group_name_H-M 'P 1'
_symmetry_Int_Tables_number 1
_cell_length_a 3.7877
_cell_length_b 3.9433
_cell_length_c 5.5264
_cell_angle_alpha 90.00
_cell_angle_beta 90.00
_cell_angle_gamma 90.00
loop_
_symmetry_equiv_pos_as_xyz
'x,y,z'
loop_
_atom_site_label
_atom_site_type_symbol
_atom_site_fract_x
_atom_site_fract_y
_atom_site_fract_z
Be1 Be 0.0000 0.0000 0.0000
Sb1 Sb 0.5000 0.0000 0.5000
Sb2 Sb 0.5000 0.5000 0.0000
P1 P 0.0000 0.5000 0.5000
```